Pb2W2O7 after structural relaxation, computed with GGA+U.

POSCAR file:
```
Pb2W2O7
1.0
6.618 0.000 3.821
2.206 6.239 3.821
0.000 0.000 7.642
O W Pb
14 4 4
Cartesian
1.381 2.726 5.249
3.031 0.393 2.392
6.618 4.680 11.463
5.793 1.166 10.034
4.412 3.120 7.642
1.650 1.166 7.642
7.174 5.073 7.642
3.855 2.726 3.821
3.031 0.393 5.249
3.031 5.073 10.034
1.381 2.726 2.392
5.793 1.166 5.249
0.556 0.393 3.821
3.031 5.073 5.249
1.103 0.780 5.731
4.412 0.780 3.821
1.103 0.780 1.910
2.206 3.900 3.821
4.412 0.780 7.642
5.515 3.900 9.552
2.206 3.900 7.642
5.515 3.900 5.731
```

calculated total energy = -6.786 eV per atom
volume = 14.3 Å³/atom
space-group type = Fd-3m, No. 227